No. 1
Here is an optimized crystal structure of TmMgNi2 from Alexandria. Energies are from PBE-GGA.

Energy above the most stable polymorph in this dataset: 34.0 meV/atom
DFT formation energy: -0.2966 eV/atom

```
data_TmMgNi2
_chemical_formula_sum 'Tm1 Mg1 Ni2'
_space_group_name_H-M_alt 'P 4/m m m'
_space_group_IT_number 123
_space_group_name_Hall '-P 4 2'
_cell_length_a 3.2195
_cell_length_b 3.2195
_cell_length_c 6.3055
_cell_angle_alpha 90.00
_cell_angle_beta 90.00
_cell_angle_gamma 90.00
loop_
_atom_site_label
_atom_site_type_symbol
_atom_site_fract_x
_atom_site_fract_y
_atom_site_fract_z
Tm1 Tm 0.0000 0.0000 0.0000
Mg1 Mg 0.0000 0.0000 0.5000
Ni1 Ni 0.5000 0.5000 0.2700
```


No. 2
Here is an optimized crystal structure of MnCu2S from Alexandria. Energies are from PBE-GGA.

Formation energy without anion corrections: 0.126 eV/atom

```
data_MnCu2S
_chemical_formula_sum 'Mn4 Cu8 S4'
_space_group_name_H-M_alt 'I -4 2 d'
_space_group_IT_number 122
_space_group_name_Hall 'I -4 2bw'
_cell_length_a 6.9611
_cell_length_b 6.9611
_cell_length_c 4.6743
_cell_angle_alpha 90.00
_cell_angle_beta 90.00
_cell_angle_gamma 90.00
loop_
_atom_site_label
_atom_site_type_symbol
_atom_site_fract_x
_atom_site_fract_y
_atom_site_fract_z
Mn1 Mn 0.0000 0.0000 0.0000
Cu1 Cu 0.2060 0.2500 0.6250
S1 S 0.0000 0.0000 0.5000
```


No. 3
Here is an optimized crystal structure of PmEr6Tm2Sc3 from Alexandria. Energies are from PBE-GGA.

DFT formation energy: 0.0442 eV/atom

```
data_PmEr6Tm2Sc3
_chemical_formula_sum 'Pm2 Er12 Tm4 Sc6'
_space_group_name_H-M_alt 'C 1 2/m 1'
_space_group_IT_number 12
_cell_length_a 6.0007
_cell_length_b 10.3854
_cell_length_c 11.4076
_cell_angle_alpha 90.00
_cell_angle_beta 100.07
_cell_angle_gamma 90.00
loop_
_space_group_symop_operation_xyz
'x,y,z'
'-x,-y,-z'
'-x,y,-z'
'x,-y,z'
'x+1/2,y+1/2,z'
'-x+1/2,-y+1/2,-z'
'-x+1/2,y+1/2,-z'
'x+1/2,-y+1/2,z'
loop_
_atom_site_label
_atom_site_type_symbol
_atom_site_fract_x
_atom_site_fract_y
_atom_site_fract_z
Pm1 Pm 0.0000 0.0000 0.0000
Er1 Er 0.2474 0.0000 0.7410
Er2 Er 0.2467 0.3331 0.7410
Tm1 Tm 0.0000 0.3334 0.0000
Sc1 Sc 0.0000 0.1669 0.5000
Sc2 Sc 0.0000 0.5000 0.5000
```


No. 4
Here is an optimized crystal structure of Sr2Y from Alexandria. Energies are from PBE-GGA.

Energy above the most stable polymorph in this dataset: 38.9 meV/atom
DFT formation energy: 0.1802 eV/atom

```
data_Sr2Y
_chemical_formula_sum 'Sr2 Y1'
_space_group_name_H-M_alt 'P -3 m 1'
_space_group_IT_number 164
_space_group_name_Hall '-P 3 2"'
_cell_length_a 3.9648
_cell_length_b 3.9648
_cell_length_c 9.8116
_cell_angle_alpha 90.00
_cell_angle_beta 90.00
_cell_angle_gamma 120.00
loop_
_atom_site_label
_atom_site_type_symbol
_atom_site_fract_x
_atom_site_fract_y
_atom_site_fract_z
Sr1 Sr 0.3333 0.6667 0.1848
Y1 Y 0.0000 0.0000 0.5000
```


No. 5
Here is an optimized crystal structure of Na3Tb3TeSe8 from Alexandria. Energies are from PBE-GGA.

Formation energy without anion corrections: -1.362 eV/atom

```
data_Na3Tb3TeSe8
_chemical_formula_sum 'Na9 Tb9 Te3 Se24'
_space_group_name_H-M_alt 'R -3 m'
_space_group_IT_number 166
_space_group_name_Hall '-R 3 2"'
_cell_length_a 8.2868
_cell_length_b 8.2868
_cell_length_c 21.1684
_cell_angle_alpha 90.00
_cell_angle_beta 90.00
_cell_angle_gamma 120.00
loop_
_atom_site_label
_atom_site_type_symbol
_atom_site_fract_x
_atom_site_fract_y
_atom_site_fract_z
Na1 Na 0.0000 0.5000 0.0000
Tb1 Tb 0.0000 0.5000 0.5000
Te1 Te 0.0000 0.0000 0.5000
Se1 Se 0.0000 0.0000 0.2430
Se2 Se 0.0072 0.5036 0.2421
```


No. 6
Here is an optimized crystal structure of AcLaAl from Alexandria. Energies are from PBE-GGA.

Energy above the most stable polymorph in this dataset: 60.3 meV/atom
DFT formation energy: -0.1168 eV/atom

```
data_AcLaAl
_chemical_formula_sum 'Ac2 La2 Al2'
_space_group_name_H-M_alt 'P -3 m 1'
_space_group_IT_number 164
_space_group_name_Hall '-P 3 2"'
_cell_length_a 5.3116
_cell_length_b 5.3116
_cell_length_c 8.0142
_cell_angle_alpha 90.00
_cell_angle_beta 90.00
_cell_angle_gamma 120.00
loop_
_atom_site_label
_atom_site_type_symbol
_atom_site_fract_x
_atom_site_fract_y
_atom_site_fract_z
Ac1 Ac 0.3333 0.6667 0.3828
La1 La 0.3333 0.6667 0.9102
Al1 Al 0.0000 0.0000 0.1916
```


No. 7
Here is an optimized crystal structure of CaTaMo2Pt from Alexandria. Energies are from PBE-GGA.

DFT formation energy: 1.6357 eV/atom

```
data_CaTaMo2Pt
_chemical_formula_sum 'Ca1 Ta1 Mo2 Pt1'
_space_group_name_H-M_alt 'P 4/m m m'
_space_group_IT_number 123
_space_group_name_Hall '-P 4 2'
_cell_length_a 4.7178
_cell_length_b 4.7178
_cell_length_c 5.4811
_cell_angle_alpha 90.00
_cell_angle_beta 90.00
_cell_angle_gamma 90.00
loop_
_atom_site_label
_atom_site_type_symbol
_atom_site_fract_x
_atom_site_fract_y
_atom_site_fract_z
Ca1 Ca 0.0000 0.0000 0.0000
Ta1 Ta 0.0000 0.0000 0.5000
Mo1 Mo 0.0000 0.5000 0.5000
Pt1 Pt 0.5000 0.5000 0.0000
```


No. 8
Here is an optimized crystal structure of Pm6Ge3I from Alexandria. Energies are from PBE-GGA.

Formation energy without anion corrections: -0.614 eV/atom

```
data_Pm6Ge3I
_chemical_formula_sum 'Pm24 Ge12 I4'
_space_group_name_H-M_alt 'C m c 21'
_space_group_IT_number 36
_cell_length_a 11.4969
_cell_length_b 14.3499
_cell_length_c 7.5323
_cell_angle_alpha 90.00
_cell_angle_beta 90.00
_cell_angle_gamma 90.00
loop_
_space_group_symop_operation_xyz
'x,y,z'
'-x,-y,z+1/2'
'-x,y,z'
'x,-y,z+1/2'
'x+1/2,y+1/2,z'
'-x+1/2,-y+1/2,z+1/2'
'-x+1/2,y+1/2,z'
'x+1/2,-y+1/2,z+1/2'
loop_
_atom_site_label
_atom_site_type_symbol
_atom_site_fract_x
_atom_site_fract_y
_atom_site_fract_z
Pm1 Pm 0.0000 0.0070 0.0000
Pm2 Pm 0.0000 0.2453 0.6501
Pm3 Pm 0.1720 0.4623 0.6018
Pm4 Pm 0.1863 0.2792 0.0170
Ge1 Ge 0.0000 0.4128 0.8938
Ge2 Ge 0.1770 0.1039 0.7780
I1 I 0.0000 0.1771 0.2599
```


no.,VASP energy (eV per atom),calculated density (kg/m³)
1,-4.704,7892
2,-5.246,6278
3,-4.961,7692
4,-3.096,3284
5,-4.620,5164
6,-4.376,6664
7,-6.676,8276
8,-5.004,6493